This record from OQMD via LeMat-Bulk describes a relaxed CoPdSO crystal. The functional is GGA+U.

## Properties
Raw total energy, eV/atom: -5.14

abc: 5.3239 7.4831 5.6302
angles: 90.00 90.00 90.00
Last column: nearest neighbours and their distance in Å.
Atoms (fractional coordinates):
Co1 0.4476 0.0856 0.0109  2 O 2.00-2.10
Co2 0.9476 0.9144 0.0109  2 O 2.00-2.10
Co3 0.0524 0.0856 0.5109  2 O 2.00-2.10
Co4 0.5524 0.9144 0.5109  2 O 2.00-2.10
O1 0.6960 0.1069 0.2759  2 Co 2.00-2.10, 1 Pd 2.21
O2 0.1960 0.8931 0.2759  2 Co 2.00-2.10, 1 Pd 2.21
O3 0.8040 0.1069 0.7759  2 Co 2.00-2.10, 1 Pd 2.21
O4 0.3040 0.8931 0.7759  2 Co 2.00-2.10, 1 Pd 2.21
Pd1 0.9884 0.2659 0.0561  2 O 2.21-2.32, 2 S 2.30-2.31
Pd2 0.4884 0.7341 0.0561  2 O 2.21-2.32, 2 S 2.30-2.31
Pd3 0.5116 0.2659 0.5561  2 O 2.21-2.32, 2 S 2.30-2.31
Pd4 0.0116 0.7341 0.5561  2 O 2.21-2.32, 2 S 2.30-2.31
S1 0.1405 0.3789 0.4071  2 Pd 2.30-2.31, 1 Co 2.32
S2 0.6405 0.6211 0.4071  2 Pd 2.30-2.31, 1 Co 2.32
S3 0.3595 0.3789 0.9071  2 Pd 2.30-2.31, 1 Co 2.32
S4 0.8595 0.6211 0.9071  2 Pd 2.30-2.31, 1 Co 2.32